Material: Y2U3Ru4
Method: DFT, PBE-GGA
State: optimized geometry

Lattice parameters (Å, degrees): 6.835 8.977 8.977 105.58 67.63 67.63
Each line ends with the local moment (μB).
Fractional coordinates of all 18 atoms:
Ru 0.068 0.293 0.042  -0.17
Ru 0.432 0.458 0.207  -0.17
Ru 0.903 0.207 0.458  -0.17
Ru 0.597 0.042 0.293  -0.17
Y 0.161 0.913 0.087  0.12
Ru 0.097 0.793 0.542  -0.17
Ru 0.932 0.707 0.958  -0.17
U 0.250 0.482 0.018  1.22
Ru 0.403 0.958 0.707  -0.17
U 0.750 0.750 0.750  1.66
U 0.750 0.518 0.982  1.22
Y 0.339 0.413 0.587  0.12
U 0.250 0.250 0.250  1.66
Y 0.661 0.587 0.413  0.12
U 0.250 0.018 0.482  1.22
Y 0.839 0.087 0.913  0.12
Ru 0.568 0.542 0.793  -0.17
U 0.750 0.982 0.518  1.22

Output
Symmetry: Ibam
Formation energy, eV/atom: -0.03